Below is a relaxed structure of BiWF3, with properties calculated at the PBE with a Hubbard U level.

Computed properties:
SG	No. 221
ΔE to the lowest computed polymorph	501	meV/atom

Cell: 4.664 4.664 4.664 Å, 90.00 90.00 90.00°
Element x y z (fractional)
Bi1 0.000 0.000 0.000
W1 0.500 0.500 0.500
F1 0.000 0.000 0.500
F2 0.000 0.500 0.000
F3 0.500 0.000 0.000